1.
VASP calculation (GGA-PBE) on crystalline LiOs2W at its relaxed geometry.

Cell lengths 2.8475, 4.5248, 9.3906 Å; angles 90.00, 90.00, 90.00 degrees
Closest atoms and distances in Å follow each position.
Sites, in units of the cell vectors:
Li (0.0000, 0.0000, 0.0000)  6 Li 2.67-2.85, 2 Os 2.69, 2 W 2.88
Li (0.5000, 0.5000, 0.0000)  6 Li 2.67-2.85, 2 Os 2.69, 2 W 2.88
Os (0.0000, 0.0000, 0.4901)  8 Os 2.67-2.85, 2 W 2.69
Os (0.0000, 0.5000, 0.2433)  8 Os 2.67-2.85, 2 Li 2.69
Os (0.5000, 0.0000, 0.2433)  8 Os 2.67-2.85, 2 Li 2.69
Os (0.5000, 0.5000, 0.4901)  8 Os 2.67-2.85, 2 W 2.69
W (0.0000, 0.5000, 0.7334)  6 W 2.67-2.85, 2 Os 2.69, 2 Li 2.88
W (0.5000, 0.0000, 0.7334)  6 W 2.67-2.85, 2 Os 2.69, 2 Li 2.88

Summary:
**ΔE_f**: 2.0 eV/f.u.



2.
VASP calculation (GGA-PBE) on crystalline LiOs2W at its relaxed geometry.

Cell lengths 3.7455, 3.7455, 8.0475 Å; angles 90.00, 90.00, 90.00 degrees
Closest atoms and distances in Å follow each position.
Sites, in units of the cell vectors:
Li (0.0000, 0.0000, 0.0000)  8 Os 2.65-2.75, 4 W 2.75
Li (0.5000, 0.5000, 0.5000)  8 Os 2.65-2.75, 4 W 2.75
Os (0.0000, 0.0000, 0.5000)  4 Li 2.65, 4 W 2.75, 4 Os 2.75
Os (0.0000, 0.5000, 0.7500)  4 W 2.65, 4 Os 2.75, 4 Li 2.75
Os (0.5000, 0.0000, 0.2500)  4 W 2.65, 4 Li 2.75, 4 Os 2.75
Os (0.5000, 0.5000, 0.0000)  4 Li 2.65, 4 W 2.75, 4 Os 2.75
W (0.0000, 0.5000, 0.2500)  8 Os 2.65-2.75, 4 Li 2.75
W (0.5000, 0.0000, 0.7500)  8 Os 2.65-2.75, 4 Li 2.75

Summary:
**ΔE_f**: 1.3 eV/f.u.



3.
VASP calculation (GGA-PBE) on crystalline LiOsW2 at its relaxed geometry.

Cell lengths 3.8972, 3.8972, 3.8549 Å; angles 90.00, 90.00, 90.00 degrees
Closest atoms and distances in Å follow each position.
Sites, in units of the cell vectors:
Li (0.0000, 0.0000, 0.0000)  8 W 2.74, 4 Os 2.76
Os (0.5000, 0.5000, 0.0000)  8 W 2.74, 4 Li 2.76
W (0.0000, 0.5000, 0.5000)  4 Li 2.74, 4 Os 2.74, 4 W 2.76
W (0.5000, 0.0000, 0.5000)  4 Li 2.74, 4 Os 2.74, 4 W 2.76

Summary:
**ΔE_f**: 1.5 eV/f.u.



4.
VASP calculation (GGA-PBE) on crystalline LiOsW2 at its relaxed geometry.

Cell lengths 2.7531, 2.7531, 8.3666 Å; angles 90.00, 90.00, 90.00 degrees
Closest atoms and distances in Å follow each position.
Sites, in units of the cell vectors:
Li (0.0000, 0.0000, 0.0000)  4 Li 2.75, 8 W 2.98
Os (0.0000, 0.0000, 0.5000)  8 W 2.74, 4 Os 2.75
W (0.5000, 0.5000, 0.2697)  4 Os 2.74, 4 W 2.75, 4 Li 2.98
W (0.5000, 0.5000, 0.7303)  4 Os 2.74, 4 W 2.75, 4 Li 2.98

Summary:
**ΔE_f**: 1.9 eV/f.u.



5.
VASP calculation (GGA-PBE) on crystalline LiOs2W at its relaxed geometry.

Cell lengths 3.0179, 4.5166, 8.3924 Å; angles 90.00, 90.00, 90.00 degrees
Closest atoms and distances in Å follow each position.
Sites, in units of the cell vectors:
Li (0.0000, 0.0000, 0.0000)  4 Os 2.62, 4 W 2.72
Li (0.5000, 0.5000, 0.5000)  4 Os 2.62, 4 W 2.72
Os (0.0000, 0.5000, 0.2455)  2 W 2.55, 2 Li 2.62, 4 Os 2.72
Os (0.0000, 0.5000, 0.7545)  2 W 2.55, 2 Li 2.62, 4 Os 2.72
Os (0.5000, 0.0000, 0.2545)  2 W 2.55, 2 Li 2.62, 4 Os 2.72
Os (0.5000, 0.0000, 0.7455)  2 W 2.55, 2 Li 2.62, 4 Os 2.72
W (0.0000, 0.0000, 0.5000)  4 Os 2.55, 4 Li 2.72
W (0.5000, 0.5000, 0.0000)  4 Os 2.55, 4 Li 2.72

Summary:
**ΔE_f**: 1.1 eV/f.u.



6.
VASP calculation (GGA-PBE) on crystalline LiOsW3 at its relaxed geometry.

Cell lengths 4.1881, 4.1881, 4.1881 Å; angles 90.00, 90.00, 90.00 degrees
Closest atoms and distances in Å follow each position.
Sites, in units of the cell vectors:
Li (0.0000, 0.0000, 0.0000)  6 W 2.09
Os (0.5000, 0.5000, 0.5000)  12 W 2.96
W (0.0000, 0.0000, 0.5000)  2 Li 2.09
W (0.0000, 0.5000, 0.0000)  2 Li 2.09
W (0.5000, 0.0000, 0.0000)  2 Li 2.09

Summary:
**ΔE_f**: 7.0 eV/f.u.